Computed, not measured: an optimized crystal structure of POs2 at the PBE level of DFT.

Properties
ρ (Mg/m³): 16.696
Calculated volume (A^3/atom): 13.64
Symmetry: Cmcm (63)
E_form (eV/atom): 0.040

```
data_POs2
_chemical_formula_sum 'P4 Os8'
_space_group_name_H-M_alt 'P 1'
_space_group_IT_number 1
_space_group_name_Hall 'P 1'
_cell_length_a 2.890
_cell_length_b 12.905
_cell_length_c 4.389
_cell_angle_alpha 90.00
_cell_angle_beta 90.00
_cell_angle_gamma 90.00
loop_
_atom_site_label
_atom_site_type_symbol
_atom_site_fract_x
_atom_site_fract_y
_atom_site_fract_z
P1 P 0.000 0.211 0.250
P2 P 0.000 0.789 0.750
P3 P 0.500 0.289 0.750
P4 P 0.500 0.711 0.250
Os1 Os 0.000 0.131 0.750
Os2 Os 0.000 0.444 0.750
Os3 Os 0.000 0.556 0.250
Os4 Os 0.000 0.869 0.250
Os5 Os 0.500 0.056 0.250
Os6 Os 0.500 0.369 0.250
Os7 Os 0.500 0.631 0.750
Os8 Os 0.500 0.944 0.750
```



Computed, not measured: an optimized crystal structure of P3Os at the PBE level of DFT.

Properties
ρ (Mg/m³): 7.412
Calculated volume (A^3/atom): 15.86
Symmetry: Pmmn (59)
E_form (eV/atom): 0.011

```
data_P3Os
_chemical_formula_sum 'P6 Os2'
_space_group_name_H-M_alt 'P 1'
_space_group_IT_number 1
_space_group_name_Hall 'P 1'
_cell_length_a 3.727
_cell_length_b 7.333
_cell_length_c 4.642
_cell_angle_alpha 90.00
_cell_angle_beta 90.00
_cell_angle_gamma 90.00
loop_
_atom_site_label
_atom_site_type_symbol
_atom_site_fract_x
_atom_site_fract_y
_atom_site_fract_z
P1 P 0.250 0.085 0.175
P2 P 0.250 0.250 0.592
P3 P 0.250 0.415 0.175
P4 P 0.750 0.585 0.825
P5 P 0.750 0.750 0.408
P6 P 0.750 0.915 0.825
Os1 Os 0.250 0.750 0.093
Os2 Os 0.750 0.250 0.907
```



Computed, not measured: an optimized crystal structure of P5Os3 at the PBE level of DFT.

Properties
ρ (Mg/m³): 11.170
Calculated volume (A^3/atom): 13.48
Symmetry: Cmmm (65)
E_form (eV/atom): 0.372

```
data_P5Os3
_chemical_formula_sum 'P10 Os6'
_space_group_name_H-M_alt 'P 1'
_space_group_IT_number 1
_space_group_name_Hall 'P 1'
_cell_length_a 6.068
_cell_length_b 8.577
_cell_length_c 4.145
_cell_angle_alpha 90.00
_cell_angle_beta 90.00
_cell_angle_gamma 90.00
loop_
_atom_site_label
_atom_site_type_symbol
_atom_site_fract_x
_atom_site_fract_y
_atom_site_fract_z
P1 P 0.000 0.000 0.000
P2 P 0.235 0.500 0.500
P3 P 0.250 0.250 0.000
P4 P 0.250 0.750 0.000
P5 P 0.265 0.000 0.500
P6 P 0.500 0.500 0.000
P7 P 0.735 0.000 0.500
P8 P 0.750 0.250 0.000
P9 P 0.750 0.750 0.000
P10 P 0.765 0.500 0.500
Os1 Os 0.000 0.262 0.500
Os2 Os 0.000 0.500 0.000
Os3 Os 0.000 0.738 0.500
Os4 Os 0.500 0.000 0.000
Os5 Os 0.500 0.238 0.500
Os6 Os 0.500 0.762 0.500
```



Computed, not measured: an optimized crystal structure of P3Os at the PBE level of DFT.

Properties
ρ (Mg/m³): 7.658
Calculated volume (A^3/atom): 15.35
Symmetry: Imm2 (44)
E_form (eV/atom): 0.046

```
data_P3Os
_chemical_formula_sum 'P6 Os2'
_space_group_name_H-M_alt 'P 1'
_space_group_IT_number 1
_space_group_name_Hall 'P 1'
_cell_length_a 3.729
_cell_length_b 7.249
_cell_length_c 4.542
_cell_angle_alpha 90.00
_cell_angle_beta 90.00
_cell_angle_gamma 90.00
loop_
_atom_site_label
_atom_site_type_symbol
_atom_site_fract_x
_atom_site_fract_y
_atom_site_fract_z
P1 P 0.000 0.000 0.000
P2 P 0.000 0.178 0.609
P3 P 0.000 0.822 0.609
P4 P 0.500 0.322 0.109
P5 P 0.500 0.500 0.500
P6 P 0.500 0.678 0.109
Os1 Os 0.000 0.500 0.815
Os2 Os 0.500 0.000 0.315
```



Computed, not measured: an optimized crystal structure of P3Os2 at the PBE level of DFT.

Properties
ρ (Mg/m³): 10.770
Calculated volume (A^3/atom): 14.60
Symmetry: P-3m1 (164)
E_form (eV/atom): 0.083

```
data_P3Os2
_chemical_formula_sum 'P3 Os2'
_space_group_name_H-M_alt 'P 1'
_space_group_IT_number 1
_space_group_name_Hall 'P 1'
_cell_length_a 3.986
_cell_length_b 3.986
_cell_length_c 5.305
_cell_angle_alpha 90.00
_cell_angle_beta 90.00
_cell_angle_gamma 120.00
loop_
_atom_site_label
_atom_site_type_symbol
_atom_site_fract_x
_atom_site_fract_y
_atom_site_fract_z
P1 P 0.000 0.000 0.000
P2 P 0.333 0.667 0.362
P3 P 0.667 0.333 0.638
Os1 Os 0.333 0.667 0.824
Os2 Os 0.667 0.333 0.176
```



Computed, not measured: an optimized crystal structure of POs4 at the PBE level of DFT.

Properties
ρ (Mg/m³): 16.318
Calculated volume (A^3/atom): 16.12
Symmetry: I4/mmm (139)
E_form (eV/atom): 0.840

```
data_POs4
_chemical_formula_sum 'P2 Os8'
_space_group_name_H-M_alt 'P 1'
_space_group_IT_number 1
_space_group_name_Hall 'P 1'
_cell_length_a 3.527
_cell_length_b 3.527
_cell_length_c 12.956
_cell_angle_alpha 90.00
_cell_angle_beta 90.00
_cell_angle_gamma 90.00
loop_
_atom_site_label
_atom_site_type_symbol
_atom_site_fract_x
_atom_site_fract_y
_atom_site_fract_z
P1 P 0.000 0.000 0.000
P2 P 0.500 0.500 0.500
Os1 Os 0.000 0.000 0.400
Os2 Os 0.000 0.000 0.600
Os3 Os 0.000 0.500 0.250
Os4 Os 0.000 0.500 0.750
Os5 Os 0.500 0.000 0.250
Os6 Os 0.500 0.000 0.750
Os7 Os 0.500 0.500 0.100
Os8 Os 0.500 0.500 0.900
```



Computed, not measured: an optimized crystal structure of P3Os at the PBE level of DFT.

Properties
ρ (Mg/m³): 8.482
Calculated volume (A^3/atom): 13.86
Symmetry: P4/mmm (123)
E_form (eV/atom): 0.406

```
data_P3Os
_chemical_formula_sum 'P3 Os1'
_space_group_name_H-M_alt 'P 1'
_space_group_IT_number 1
_space_group_name_Hall 'P 1'
_cell_length_a 2.913
_cell_length_b 2.913
_cell_length_c 6.534
_cell_angle_alpha 90.00
_cell_angle_beta 90.00
_cell_angle_gamma 90.00
loop_
_atom_site_label
_atom_site_type_symbol
_atom_site_fract_x
_atom_site_fract_y
_atom_site_fract_z
P1 P 0.000 0.000 0.000
P2 P 0.500 0.500 0.267
P3 P 0.500 0.500 0.733
Os1 Os 0.000 0.000 0.500
```



Computed, not measured: an optimized crystal structure of POs3 at the PBE level of DFT.

Properties
ρ (Mg/m³): 17.389
Calculated volume (A^3/atom): 14.36
Symmetry: C2/m (12)
E_form (eV/atom): 0.252

```
data_POs3
_chemical_formula_sum 'P2 Os6'
_space_group_name_H-M_alt 'P 1'
_space_group_IT_number 1
_space_group_name_Hall 'P 1'
_cell_length_a 9.399
_cell_length_b 2.832
_cell_length_c 4.317
_cell_angle_alpha 90.00
_cell_angle_beta 90.07
_cell_angle_gamma 90.00
loop_
_atom_site_label
_atom_site_type_symbol
_atom_site_fract_x
_atom_site_fract_y
_atom_site_fract_z
P1 P 0.000 0.000 0.000
P2 P 0.500 0.500 0.000
Os1 Os 0.000 0.500 0.500
Os2 Os 0.218 0.000 0.742
Os3 Os 0.282 0.500 0.258
Os4 Os 0.500 0.000 0.500
Os5 Os 0.718 0.500 0.742
Os6 Os 0.782 0.000 0.258
```



Computed, not measured: an optimized crystal structure of POs4 at the PBE level of DFT.

Properties
ρ (Mg/m³): 16.397
Calculated volume (A^3/atom): 16.04
Symmetry: Im-3m (229)
E_form (eV/atom): 0.992

```
data_POs4
_chemical_formula_sum 'P2 Os8'
_space_group_name_H-M_alt 'P 1'
_space_group_IT_number 1
_space_group_name_Hall 'P 1'
_cell_length_a 5.433
_cell_length_b 5.433
_cell_length_c 5.433
_cell_angle_alpha 90.00
_cell_angle_beta 90.00
_cell_angle_gamma 90.00
loop_
_atom_site_label
_atom_site_type_symbol
_atom_site_fract_x
_atom_site_fract_y
_atom_site_fract_z
P1 P 0.000 0.000 0.000
P2 P 0.500 0.500 0.500
Os1 Os 0.250 0.250 0.250
Os2 Os 0.250 0.250 0.750
Os3 Os 0.250 0.750 0.250
Os4 Os 0.250 0.750 0.750
Os5 Os 0.750 0.250 0.250
Os6 Os 0.750 0.250 0.750
Os7 Os 0.750 0.750 0.250
Os8 Os 0.750 0.750 0.750
```



Computed, not measured: an optimized crystal structure of POs3 at the PBE level of DFT.

Properties
ρ (Mg/m³): 17.751
Calculated volume (A^3/atom): 14.07
Symmetry: Cmmm (65)
E_form (eV/atom): 0.500

```
data_POs3
_chemical_formula_sum 'P2 Os6'
_space_group_name_H-M_alt 'P 1'
_space_group_IT_number 1
_space_group_name_Hall 'P 1'
_cell_length_a 5.741
_cell_length_b 7.026
_cell_length_c 2.791
_cell_angle_alpha 90.00
_cell_angle_beta 90.00
_cell_angle_gamma 90.00
loop_
_atom_site_label
_atom_site_type_symbol
_atom_site_fract_x
_atom_site_fract_y
_atom_site_fract_z
P1 P 0.000 0.000 0.000
P2 P 0.500 0.500 0.000
Os1 Os 0.000 0.500 0.000
Os2 Os 0.250 0.250 0.500
Os3 Os 0.250 0.750 0.500
Os4 Os 0.500 0.000 0.000
Os5 Os 0.750 0.250 0.500
Os6 Os 0.750 0.750 0.500
```



Computed, not measured: an optimized crystal structure of P6Os7 at the PBE level of DFT.

Properties
ρ (Mg/m³): 12.333
Calculated volume (A^3/atom): 15.72
Symmetry: R-3m (166)
E_form (eV/atom): 0.436

```
data_P6Os7
_chemical_formula_sum 'P6 Os7'
_space_group_name_H-M_alt 'P 1'
_space_group_IT_number 1
_space_group_name_Hall 'P 1'
_cell_length_a 8.519
_cell_length_b 8.519
_cell_length_c 8.519
_cell_angle_alpha 37.38
_cell_angle_beta 37.38
_cell_angle_gamma 37.38
loop_
_atom_site_label
_atom_site_type_symbol
_atom_site_fract_x
_atom_site_fract_y
_atom_site_fract_z
P1 P 0.087 0.087 0.087
P2 P 0.183 0.183 0.183
P3 P 0.334 0.334 0.334
P4 P 0.666 0.666 0.666
P5 P 0.817 0.817 0.817
P6 P 0.913 0.913 0.913
Os1 Os 0.077 0.577 0.577
Os2 Os 0.423 0.423 0.923
Os3 Os 0.423 0.923 0.423
Os4 Os 0.500 0.500 0.500
Os5 Os 0.577 0.077 0.577
Os6 Os 0.577 0.577 0.077
Os7 Os 0.923 0.423 0.423
```



Computed, not measured: an optimized crystal structure of POs2 at the PBE level of DFT.

Properties
ρ (Mg/m³): 17.123
Calculated volume (A^3/atom): 13.30
Symmetry: I4/mmm (139)
E_form (eV/atom): 0.105

```
data_POs2
_chemical_formula_sum 'P2 Os4'
_space_group_name_H-M_alt 'P 1'
_space_group_IT_number 1
_space_group_name_Hall 'P 1'
_cell_length_a 2.882
_cell_length_b 2.882
_cell_length_c 9.606
_cell_angle_alpha 90.00
_cell_angle_beta 90.00
_cell_angle_gamma 90.00
loop_
_atom_site_label
_atom_site_type_symbol
_atom_site_fract_x
_atom_site_fract_y
_atom_site_fract_z
P1 P 0.000 0.000 0.000
P2 P 0.500 0.500 0.500
Os1 Os 0.000 0.000 0.352
Os2 Os 0.000 0.000 0.648
Os3 Os 0.500 0.500 0.148
Os4 Os 0.500 0.500 0.852
```



Computed, not measured: an optimized crystal structure of POs2 at the PBE level of DFT.

Properties
ρ (Mg/m³): 16.137
Calculated volume (A^3/atom): 14.11
Symmetry: Cmcm (63)
E_form (eV/atom): 0.289

```
data_POs2
_chemical_formula_sum 'P4 Os8'
_space_group_name_H-M_alt 'P 1'
_space_group_IT_number 1
_space_group_name_Hall 'P 1'
_cell_length_a 2.838
_cell_length_b 12.893
_cell_length_c 4.629
_cell_angle_alpha 90.00
_cell_angle_beta 90.00
_cell_angle_gamma 90.00
loop_
_atom_site_label
_atom_site_type_symbol
_atom_site_fract_x
_atom_site_fract_y
_atom_site_fract_z
P1 P 0.000 0.133 0.250
P2 P 0.000 0.867 0.750
P3 P 0.500 0.367 0.750
P4 P 0.500 0.633 0.250
Os1 Os 0.000 0.205 0.750
Os2 Os 0.000 0.469 0.250
Os3 Os 0.000 0.531 0.750
Os4 Os 0.000 0.795 0.250
Os5 Os 0.500 0.031 0.750
Os6 Os 0.500 0.295 0.250
Os7 Os 0.500 0.705 0.750
Os8 Os 0.500 0.969 0.250
```